Computed, not measured: a relaxed AcVSO2 crystal at the PBE with a Hubbard U level of DFT.

Output
DFT total energy ... -37.08 eV/cell

abc: 4.056 4.057 5.482
angles: 90.00 90.00 90.00
Last column: magnetic moment on the atom in μB.
Fractional coordinates of all 5 atoms:
O 0.000 0.500 0.940  -0.02
S 0.000 0.000 0.454  -0.02
O 0.500 0.000 0.940  -0.02
V 0.000 0.000 0.007  1.92
Ac 0.500 0.500 0.659  0.01